Compound: FeTc2Ge4
Source: Alexandria via LeMat-Bulk
Functional: PBE-GGA
Structure: optimized geometry

Computed properties:
**Energy of formation from the pure elements**: -0.0929 eV per atom
**Crystal system**: monoclinic
**Density of states at the Fermi level**: 0.368 states/eV per atom
**Distance to the lowest polymorph of the same formula**: 0.0 meV per atom

POSCAR file:
```
FeTc2Ge4
1.0
-2.292 -0.115 -2.180
0.590 -5.486 -0.329
-3.414 1.915 5.785
Tc Ge Fe
2 4 1
Direct
0.249 0.253 0.498
0.751 0.747 0.502
0.607 0.304 0.213
0.393 0.696 0.787
0.886 0.223 0.773
0.114 0.777 0.227
0.000 0.000 0.000
```



Compound: FeTc3Ge6
Source: Alexandria via LeMat-Bulk
Functional: PBE-GGA
Structure: optimized geometry

Computed properties:
**Energy of formation from the pure elements**: 0.0556 eV per atom
**Crystal system**: monoclinic
**Density of states at the Fermi level**: 0.864 states/eV per atom

POSCAR file:
```
FeTc3Ge6
1.0
-0.053 -4.984 -3.313
6.110 -1.351 1.934
-2.943 -1.874 7.986
Tc Ge Fe
6 12 2
Direct
0.526 0.861 0.735
0.026 0.639 0.235
0.500 0.500 0.000
0.000 0.000 0.500
0.974 0.361 0.765
0.474 0.139 0.265
0.190 0.018 0.800
0.148 0.349 0.074
0.310 0.518 0.700
0.690 0.482 0.300
0.852 0.651 0.926
0.850 0.688 0.597
0.648 0.151 0.574
0.650 0.188 0.903
0.350 0.812 0.097
0.352 0.849 0.426
0.150 0.312 0.403
0.810 0.982 0.200
0.000 0.000 0.000
0.500 0.500 0.500
```



Compound: FeTcGe4
Source: Alexandria via LeMat-Bulk
Functional: PBE-GGA
Structure: optimized geometry

Computed properties:
**Energy of formation from the pure elements**: 0.0370 eV per atom
**Crystal system**: orthorhombic
**Density of states at the Fermi level**: 0.513 states/eV per atom
**Distance to the lowest polymorph of the same formula**: 86.2 meV per atom

POSCAR file:
```
FeTcGe4
1.0
-0.458 -5.299 -2.471
-1.478 -2.129 4.838
-6.591 1.251 -1.463
Ge Fe Tc
8 2 2
Direct
0.238 0.847 0.185
0.738 0.153 0.685
0.270 0.327 0.317
0.262 0.847 0.685
0.762 0.153 0.185
0.770 0.673 0.817
0.730 0.673 0.317
0.230 0.327 0.817
0.500 0.000 0.411
0.000 0.000 0.911
0.500 0.500 0.586
0.000 0.500 0.086
```



Compound: FeTcGe2
Source: Alexandria via LeMat-Bulk
Functional: PBE-GGA
Structure: optimized geometry

Computed properties:
**Energy of formation from the pure elements**: -0.0031 eV per atom
**Crystal system**: trigonal
**Density of states at the Fermi level**: 0.761 states/eV per atom
**Distance to the lowest polymorph of the same formula**: 0.0 meV per atom

POSCAR file:
```
FeTcGe2
1.0
-1.390 2.476 0.781
-0.589 0.526 2.837
5.960 4.488 1.934
Tc Ge Fe
1 2 1
Direct
0.501 0.501 0.496
0.080 0.080 0.760
0.254 0.254 0.238
0.665 0.665 0.006
```



Compound: FeTc2Ge4
Source: Alexandria via LeMat-Bulk
Functional: PBE-GGA
Structure: optimized geometry

Computed properties:
**Energy of formation from the pure elements**: 0.5495 eV per atom
**Crystal system**: tetragonal
**Density of states at the Fermi level**: 0.506 states/eV per atom
**Distance to the lowest polymorph of the same formula**: 642.4 meV per atom

POSCAR file:
```
FeTc2Ge4
1.0
-1.121 -4.361 -0.628
2.644 -0.147 -3.696
5.538 -3.983 1.324
Ge Tc Fe
4 2 1
Direct
0.000 0.500 0.000
0.808 0.808 0.385
0.192 0.192 0.615
0.500 0.000 0.000
0.607 0.607 0.787
0.393 0.393 0.213
0.000 0.000 0.000
```



Compound: FeTc2Ge2
Source: Alexandria via LeMat-Bulk
Functional: PBE-GGA
Structure: optimized geometry

Computed properties:
**Energy of formation from the pure elements**: 0.0994 eV per atom
**Crystal system**: tetragonal
**Density of states at the Fermi level**: 0.886 states/eV per atom
**Distance to the lowest polymorph of the same formula**: 0.0 meV per atom

POSCAR file:
```
FeTc2Ge2
1.0
6.852 0.000 0.000
0.000 6.852 0.000
0.000 0.000 3.124
Ge Tc Fe
4 4 2
Direct
0.353 0.853 0.000
0.647 0.147 0.000
0.147 0.353 0.000
0.853 0.647 0.000
0.152 0.652 0.500
0.848 0.348 0.500
0.652 0.848 0.500
0.348 0.152 0.500
0.000 0.000 0.000
0.500 0.500 0.000
```



Compound: FeTc2Ge
Source: Alexandria via LeMat-Bulk
Functional: PBE-GGA
Structure: optimized geometry

Computed properties:
**Energy of formation from the pure elements**: 0.4013 eV per atom
**Crystal system**: orthorhombic
**Density of states at the Fermi level**: 0.890 states/eV per atom

POSCAR file:
```
FeTc2Ge
1.0
4.807 -2.213 -3.344
-2.020 4.892 3.344
-3.429 0.779 5.179
Fe Tc Ge
1 2 1
Direct
0.000 0.000 0.000
0.000 0.799 0.799
0.000 0.201 0.201
0.000 0.500 0.500
```



Compound: FeTcGe3
Source: Alexandria via LeMat-Bulk
Functional: PBE-GGA
Structure: optimized geometry

Computed properties:
**Energy of formation from the pure elements**: -0.0182 eV per atom
**Crystal system**: trigonal
**Density of states at the Fermi level**: 0.340 states/eV per atom
**Distance to the lowest polymorph of the same formula**: 0.0 meV per atom

POSCAR file:
```
FeTcGe3
1.0
-1.431 3.920 3.408
-4.924 2.167 -0.301
-4.314 -2.383 5.188
Ge Fe Tc
6 2 2
Direct
0.886 0.243 0.268
0.603 0.886 0.268
0.114 0.757 0.732
0.243 0.603 0.268
0.757 0.397 0.732
0.397 0.114 0.732
0.171 0.171 0.488
0.829 0.829 0.512
0.669 0.669 0.994
0.331 0.331 0.006
```